DFT (PBE with a Hubbard U) results for crystalline Li3Co2Si2O8 at its relaxed geometry.

```
Li3Co2Si2O8
1.0
6.500 0.000 0.000
0.000 5.105 0.000
-0.002 0.000 10.565
Li Co Si O
6 4 4 16
Cartesian
0.000 0.219 0.000
-0.001 4.886 5.282
1.627 2.241 9.605
1.628 2.863 4.323
4.797 0.330 2.478
4.796 4.775 7.761
1.629 0.356 2.507
1.628 4.749 7.790
4.790 2.231 9.637
4.791 2.873 4.354
3.190 0.306 5.159
3.189 4.799 10.441
6.425 2.220 7.065
6.425 2.885 1.782
1.240 2.277 2.510
1.240 2.828 7.792
1.815 0.254 9.714
1.816 4.851 4.432
3.220 0.009 1.457
3.219 5.096 6.740
3.275 1.931 4.829
3.274 3.173 10.111
4.564 0.343 9.709
4.565 4.762 4.427
5.094 2.327 2.605
5.093 2.777 7.887
6.315 2.337 0.198
6.315 2.767 5.480
6.454 0.572 7.062
6.455 4.532 1.779
```

Output
excess energy over the best structure of this formula in the dataset	0	kJ/mol of formula units
SG	Pc, No. 7
Fermi-level density of states	0.004	states/eV per atom